[1]
A relaxed structure of Ho2Fe3Tc, computed with PBE.

CIF file:
```
data_Ho2Fe3Tc
_chemical_formula_sum 'Ho6 Fe9 Tc3'
_space_group_name_H-M_alt 'R -3 m'
_space_group_IT_number 166
_space_group_name_Hall '-R 3 2"'
_cell_length_a 5.1906
_cell_length_b 5.1906
_cell_length_c 12.6519
_cell_angle_alpha 90.00
_cell_angle_beta 90.00
_cell_angle_gamma 120.00
loop_
_atom_site_label
_atom_site_type_symbol
_atom_site_fract_x
_atom_site_fract_y
_atom_site_fract_z
Ho1 Ho 0.0000 0.0000 0.1254
Fe1 Fe 0.0000 0.5000 0.0000
Tc1 Tc 0.0000 0.0000 0.5000
```

Computed properties:
E_tot (hartree per atom): -0.279
Energy relative to the elements (meV/atom): -94
Size of the total moment (μB per cell): 14.464
Theoretical density (g/cm3): 10.05

[2]
A relaxed structure of HoFeTc, computed with PBE.

CIF file:
```
data_HoFeTc
_chemical_formula_sum 'Ho4 Fe4 Tc4'
_space_group_name_H-M_alt 'I m m a'
_space_group_IT_number 74
_space_group_name_Hall '-I 2b 2'
_cell_length_a 5.1225
_cell_length_b 5.2872
_cell_length_c 7.6416
_cell_angle_alpha 90.00
_cell_angle_beta 90.00
_cell_angle_gamma 90.00
loop_
_atom_site_label
_atom_site_type_symbol
_atom_site_fract_x
_atom_site_fract_y
_atom_site_fract_z
Ho1 Ho 0.0000 0.2500 0.1234
Fe1 Fe 0.0000 0.0000 0.5000
Tc1 Tc 0.2500 0.2500 0.7500
```

Computed properties:
E_tot (hartree per atom): -0.292
Energy relative to the elements (meV/atom): -130
Size of the total moment (μB per cell): 7.878
Theoretical density (g/cm3): 10.23

Question: The highest size of the total moment belongs to which entry?
Answer: Ho2Fe3Tc

Question: Which formula does entry 2 have?
Answer: HoFeTc

Question: Which of these has the highest E_tot?
Answer: Ho2Fe3Tc